No. 1
# KCa2Cd

A relaxed KCa2Cd crystal (PBE, Alexandria via LeMat-Bulk).

a = 5.147 Å, b = 5.147 Å, c = 24.936 Å
α = 90.00°, β = 90.00°, γ = 90.00°
Space group I-42d (No. 122)
Asymmetric unit:
K  0.000  0.000  0.000 (multiplicity 4)
Ca  0.230  0.250  0.625 (multiplicity 8)
Cd  0.000  0.000  0.500 (multiplicity 4)

- ΔH_f (0 K): 204 meV/atom
- DOS at the Fermi energy: 13.9 states/eV per cell
- M_tot: 0.000 μB/cell

***

No. 2
# KPaTeO5

A relaxed KPaTeO5 crystal (PBE, Alexandria via LeMat-Bulk).

a = 8.136 Å, b = 9.781 Å, c = 8.538 Å
α = 90.00°, β = 116.81°, γ = 90.00°
Space group C2/c (No. 15)
Asymmetric unit:
K  0.000  0.073  0.250 (multiplicity 4)
Pa  0.250  0.250  0.000 (multiplicity 4)
Te  0.000  0.459  0.250 (multiplicity 4)
O  0.000  0.234  0.750 (multiplicity 4)
O  0.068  0.325  0.127 (multiplicity 8)
O  0.230  0.042  0.060 (multiplicity 8)

- DOS at the Fermi energy: 0.0 states/eV per cell
- ΔE_f (raw): -2.26 eV/atom
- M_tot: 0.000 μB/cell

***

No. 3
# Er6InS3

A relaxed Er6InS3 crystal (PBE, Alexandria via LeMat-Bulk).

a = 11.326 Å, b = 3.729 Å, c = 11.955 Å
α = 90.00°, β = 103.82°, γ = 90.00°
Space group P2_1/m (No. 11)
Asymmetric unit:
Er  0.029  0.250  0.141 (multiplicity 2)
Er  0.128  0.750  0.454 (multiplicity 2)
Er  0.202  0.250  0.748 (multiplicity 2)
Er  0.317  0.750  0.029 (multiplicity 2)
Er  0.319  0.250  0.276 (multiplicity 2)
Er  0.417  0.250  0.597 (multiplicity 2)
In  0.451  0.750  0.826 (multiplicity 2)
S  0.037  0.750  0.648 (multiplicity 2)
S  0.136  0.250  0.952 (multiplicity 2)
S  0.358  0.750  0.437 (multiplicity 2)

- DOS at the Fermi energy: 14.4 states/eV per cell
- ΔE_f (raw): -1.20 eV/atom
- M_tot: 0.000 μB/cell

***

No. 4
# FePbBr2

A relaxed FePbBr2 crystal (PBE, Alexandria via LeMat-Bulk).

a = 7.405 Å, b = 7.405 Å, c = 7.405 Å
α = 90.00°, β = 90.00°, γ = 90.00°
Space group Fm-3m (No. 225)
Asymmetric unit:
Fe  0.000  0.000  0.000 (multiplicity 4)
Pb  0.000  0.000  0.500 (multiplicity 4)
Br  0.250  0.250  0.250 (multiplicity 8)

- DOS at the Fermi energy: 13.4 states/eV per cell
- ΔE_f (raw): 0.27 eV/atom
- ΔE to the lowest computed polymorph: 447 meV/atom
- M_tot: 13.450 μB/cell

***

No. 5
# TlBiO2

A relaxed TlBiO2 crystal (PBE, Alexandria via LeMat-Bulk).

a = 3.5154 Å, b = 3.5154 Å, c = 21.2387 Å
α = 90.00°, β = 90.00°, γ = 120.00°
Space group R-3m (No. 166, hexagonal axes)
Asymmetric unit:
Tl  0.0000  0.0000  0.0000 (multiplicity 3)
Bi  0.0000  0.0000  0.5000 (multiplicity 3)
O  0.0000  0.0000  0.3899 (multiplicity 6)

- DOS at the Fermi energy: 2.1 states/eV per cell
- ΔE_f (raw): -0.68 eV/atom
- ΔE to the lowest computed polymorph: 209 meV/atom
- M_tot: 0.000 μB/cell

***

No. 6
# HfMnTl2

A relaxed HfMnTl2 crystal (PBE, Alexandria via LeMat-Bulk).

a = 7.763 Å, b = 7.763 Å, c = 6.015 Å
α = 90.00°, β = 90.00°, γ = 90.00°
Space group I-42d (No. 122)
Asymmetric unit:
Hf  0.000  0.000  0.000 (multiplicity 4)
Mn  0.000  0.000  0.500 (multiplicity 4)
Tl  0.226  0.250  0.625 (multiplicity 8)

- ΔH_f (0 K): 517 meV/atom
- DOS at the Fermi energy: 12.0 states/eV per cell
- ΔE to the lowest computed polymorph: 0 meV/atom
- M_tot: 11.820 μB/cell

***

No. 7
# Er4UN4

A relaxed Er4UN4 crystal (PBE, Alexandria via LeMat-Bulk).

a = 7.676 Å, b = 7.676 Å, c = 4.881 Å
α = 90.00°, β = 90.00°, γ = 90.00°
Space group I4/m (No. 87)
Asymmetric unit:
Er  0.103  0.308  0.000 (multiplicity 8)
U  0.000  0.000  0.500 (multiplicity 2)
N  0.093  0.287  0.500 (multiplicity 8)

- DOS at the Fermi energy: 18.6 states/eV per cell
- ΔE_f (raw): -1.39 eV/atom
- M_tot: 3.998 μB/cell

***

No. 8
# Pm2UC3

A relaxed Pm2UC3 crystal (PBE, Alexandria via LeMat-Bulk).

a = 6.329 Å, b = 10.945 Å, c = 6.323 Å
α = 90.00°, β = 109.61°, γ = 90.00°
Space group C2/m (No. 12)
Asymmetric unit:
Pm  0.000  0.000  0.000 (multiplicity 2)
Pm  0.000  0.165  0.500 (multiplicity 4)
Pm  0.000  0.500  0.500 (multiplicity 2)
U  0.000  0.333  0.000 (multiplicity 4)
C  0.205  0.500  0.213 (multiplicity 4)
C  0.246  0.317  0.785 (multiplicity 8)

- ΔH_f (0 K): -123 meV/atom
- DOS at the Fermi energy: 11.2 states/eV per cell
- M_tot: 0.000 μB/cell